DFT (PBE) results for a relaxed structure of SmRh3Pb.

## Properties
Energy = -64.1 eV/cell
Density = 11.18 g cm⁻³
Crystal system = orthorhombic
Energy of formation = -0.31 eV per atom

Geometry as CIF:
```
data_SmRh3Pb
_cell_length_a 6.6175
_cell_length_b 6.6175
_cell_length_c 6.6175
_cell_angle_alpha 109.62
_cell_angle_beta 129.80
_cell_angle_gamma 91.38
_space_group_name_H-M_alt 'P 1'
_space_group_IT_number 1
loop_
_space_group_symop_operation_xyz
'x,y,z'
loop_
_atom_site_label
_atom_site_type_symbol
_atom_site_fract_x
_atom_site_fract_y
_atom_site_fract_z
Sm1 Sm 0.9831 0.7331 0.7500
Sm2 Sm 0.0169 0.2669 0.2500
Rh1 Rh 0.5000 0.6953 0.6953
Pb1 Pb 0.5000 0.0000 0.5000
Rh2 Rh 0.0000 0.6953 0.1953
Rh3 Rh 0.5000 0.3047 0.3047
Pb2 Pb 0.5000 0.5000 0.0000
Rh4 Rh 0.7178 0.9678 0.2500
Rh5 Rh 0.2822 0.0322 0.7500
Rh6 Rh 0.0000 0.3047 0.8047
```

***

DFT (PBE) results for a relaxed structure of Sm3Rh4Pb4.

## Properties
Energy = -63.4 eV/cell
Density = 11.05 g cm⁻³
Crystal system = orthorhombic
Energy of formation = -0.45 eV per atom

Geometry as CIF:
```
data_Sm3Rh4Pb4
_cell_length_a 3.9183
_cell_length_b 8.0738
_cell_length_c 9.2023
_cell_angle_alpha 116.02
_cell_angle_beta 102.29
_cell_angle_gamma 90.00
_space_group_name_H-M_alt 'P 1'
_space_group_IT_number 1
loop_
_space_group_symop_operation_xyz
'x,y,z'
loop_
_atom_site_label
_atom_site_type_symbol
_atom_site_fract_x
_atom_site_fract_y
_atom_site_fract_z
Rh1 Rh 0.5000 0.8020 0.0000
Sm1 Sm 0.0000 0.5000 0.0000
Pb1 Pb 0.3339 0.1332 0.6679
Pb2 Pb 0.6661 0.8668 0.3321
Rh2 Rh 0.5000 0.1980 0.0000
Pb3 Pb 0.6661 0.4653 0.3321
Sm2 Sm 0.1086 0.1086 0.2173
Rh3 Rh 0.7658 0.2658 0.5316
Rh4 Rh 0.2342 0.7342 0.4684
Sm3 Sm 0.8914 0.8914 0.7827
Pb4 Pb 0.3339 0.5347 0.6679
```